#i
# LiCr2Ag

Crystalline LiCr2Ag at its relaxed geometry (PBE, Alexandria).

Calculated values
Symmetry: Cmmm
Mass density in kg/m³: 6482
Magnetic moment in Bohr magnetons per cell: 0.00

Cell: 2.506 2.506 9.424 Å, 90.00 90.00 108.76°
Element x y z (fractional)
Ag: 0.500 0.500 0.750
Cr: 0.000 0.000 0.004
Li: 0.500 0.500 0.250
Cr: 0.000 0.000 0.496

=====

#ii
# LiCr2Ag

Crystalline LiCr2Ag at its relaxed geometry (PBE, Alexandria).

Calculated values
Symmetry: P4mm
Mass density in kg/m³: 6267
Magnetic moment in Bohr magnetons per cell: 0.06

Cell: 3.077 3.077 6.122 Å, 90.00 90.00 90.00°
Site moments in Bohr magnetons follow the coordinates.
Element x y z (fractional)
Ag: 0.500 0.500 0.737  0.04
Cr: 0.500 0.500 0.225  -2.46
Li: 0.000 0.000 0.496  -0.01
Cr: 0.000 0.000 0.043  2.44

=====

#iii
# LiCr2Ag

Crystalline LiCr2Ag at its relaxed geometry (PBE, Alexandria).

Calculated values
Symmetry: Cmm2
Mass density in kg/m³: 6355
Magnetic moment in Bohr magnetons per cell: 0.00

Cell: 2.687 2.687 8.714 Å, 90.00 90.00 114.66°
Element x y z (fractional)
Li: 0.000 0.000 0.489
Cr: 0.000 0.000 0.034
Ag: 0.500 0.500 0.754
Cr: 0.500 0.500 0.223

=====

Order of stability, best first: #ii, #iii, #i

=====

#i
# LiCr2Ag

Crystalline LiCr2Ag at its relaxed geometry (PBE, Alexandria).

Calculated values
Symmetry: I-42d
Mass density in kg/m³: 6612
Magnetic moment in Bohr magnetons per cell: 0.00

Cell: 3.323 3.323 10.225 Å, 80.65 80.65 90.00°
Element x y z (fractional)
Ag: 0.750 0.250 0.500
Cr: 0.618 0.125 0.250
Li: 0.500 0.500 0.000
Cr: 0.132 0.625 0.250
Cr: 0.875 0.868 0.750
Ag: 0.000 0.000 0.000
Li: 0.250 0.750 0.500
Cr: 0.375 0.382 0.750

=====

#ii
# LiCr2Ag

Crystalline LiCr2Ag at its relaxed geometry (PBE, Alexandria).

Calculated values
Symmetry: P2/m
Mass density in kg/m³: 6658
Magnetic moment in Bohr magnetons per cell: 0.00

Cell: 4.694 2.625 4.531 Å, 77.87 90.00 90.00°
Element x y z (fractional)
Cr: 0.000 0.961 0.038
Ag: 0.500 0.750 0.750
Cr: 0.000 0.539 0.462
Li: 0.500 0.250 0.250

=====

#iii
# LiCr2Ag

Crystalline LiCr2Ag at its relaxed geometry (PBE, Alexandria).

Calculated values
Symmetry: I4/mmm
Mass density in kg/m³: 7022
Magnetic moment in Bohr magnetons per cell: 0.00

Cell: 5.140 5.140 5.140 Å, 141.72 141.72 55.25°
Element x y z (fractional)
Cr: 0.500 0.500 0.000
Li: 0.250 0.750 0.500
Cr: 0.000 0.000 0.000
Ag: 0.750 0.250 0.500

=====

#iv
# LiCr2Ag

Crystalline LiCr2Ag at its relaxed geometry (PBE, Alexandria).

Calculated values
Symmetry: Fm-3m
Mass density in kg/m³: 5349
Magnetic moment in Bohr magnetons per cell: 8.86

Cell: 4.580 4.580 4.580 Å, 60.00 60.00 60.00°
Site moments in Bohr magnetons follow the coordinates.
Element x y z (fractional)
Cr: 0.250 0.250 0.250  3.78
Li: 0.000 0.000 0.000  0.06
Ag: 0.500 0.500 0.500  0.14
Cr: 0.750 0.750 0.750  3.78

=====

Order of stability, best first: #iii, #ii, #iv, #i

=====

#i
# LiCr2Ag

Crystalline LiCr2Ag at its relaxed geometry (PBE, Alexandria).

Calculated values
Symmetry: Cmmm
Mass density in kg/m³: 6768
Magnetic moment in Bohr magnetons per cell: 0.54

Cell: 5.124 5.124 2.512 Å, 90.00 90.00 125.50°
Site moments in Bohr magnetons follow the coordinates.
Element x y z (fractional)
Cr: 0.000 0.000 0.000  0.24
Ag: 0.000 0.500 0.500  0.01
Li: 0.500 0.000 0.500  0.00
Cr: 0.500 0.500 0.000  0.24

=====

#ii
# LiCr2Ag

Crystalline LiCr2Ag at its relaxed geometry (PBE, Alexandria).

Calculated values
Symmetry: C2/m
Mass density in kg/m³: 6764
Magnetic moment in Bohr magnetons per cell: 0.00

Cell: 4.460 5.337 2.558 Å, 80.53 79.65 112.01°
Element x y z (fractional)
Li: 0.000 0.500 0.500
Ag: 0.500 0.500 0.000
Cr: 0.500 0.000 0.500
Cr: 0.000 0.000 0.000

=====

Order of stability, best first: #ii, #i

=====

#i
# LiCr2Ag

Crystalline LiCr2Ag at its relaxed geometry (PBE, Alexandria).

Calculated values
Symmetry: I-4m2
Mass density in kg/m³: 5899
Magnetic moment in Bohr magnetons per cell: 0.06

Cell: 4.630 4.630 4.630 Å, 126.82 126.82 78.55°
Site moments in Bohr magnetons follow the coordinates.
Element x y z (fractional)
Ag: 0.750 0.250 0.500  0.04
Cr: 0.000 0.000 0.000  3.34
Cr: 0.250 0.750 0.500  -3.37
Li: 0.500 0.500 0.000  -0.02

=====

#ii
# LiCr2Ag

Crystalline LiCr2Ag at its relaxed geometry (PBE, Alexandria).

Calculated values
Symmetry: P4/mmm
Mass density in kg/m³: 6475
Magnetic moment in Bohr magnetons per cell: 0.00

Cell: 3.328 3.328 5.066 Å, 90.00 90.00 90.00°
Element x y z (fractional)
Ag: 0.500 0.500 0.750
Cr: 0.000 0.000 0.069
Li: 0.500 0.500 0.250
Cr: 0.000 0.000 0.431

=====

Order of stability, best first: #i, #ii

=====

#i
# LiCr2Ag

Crystalline LiCr2Ag at its relaxed geometry (PBE, Alexandria).

Calculated values
Symmetry: Pmmm
Mass density in kg/m³: 6757
Magnetic moment in Bohr magnetons per cell: 0.00

Cell: 2.542 4.454 4.750 Å, 90.00 90.00 90.00°
Element x y z (fractional)
Li: 0.500 0.500 0.250
Ag: 0.500 0.500 0.750
Cr: 0.000 0.000 0.468
Cr: 0.000 0.000 0.032

=====

#ii
# LiCr2Ag

Crystalline LiCr2Ag at its relaxed geometry (PBE, Alexandria).

Calculated values
Symmetry: R-3m
Mass density in kg/m³: 6409
Magnetic moment in Bohr magnetons per cell: 1.05

Cell: 9.679 9.679 9.679 Å, 15.54 15.54 15.54°
Site moments in Bohr magnetons follow the coordinates.
Element x y z (fractional)
Cr: 0.500 0.500 0.500  0.47
Li: 0.250 0.250 0.250  0.00
Ag: 0.750 0.750 0.750  0.00
Cr: 0.000 0.000 0.000  0.47

=====

#iii
# LiCr2Ag

Crystalline LiCr2Ag at its relaxed geometry (PBE, Alexandria).

Calculated values
Symmetry: P4/mmm
Mass density in kg/m³: 6488
Magnetic moment in Bohr magnetons per cell: 0.00

Cell: 2.493 2.493 9.011 Å, 90.00 90.00 90.00°
Element x y z (fractional)
Ag: 0.500 0.500 0.750
Cr: 0.000 0.000 0.002
Li: 0.500 0.500 0.250
Cr: 0.000 0.000 0.498

=====

Order of stability, best first: #i, #ii, #iii

=====

#i
# Li2CrAg

Crystalline Li2CrAg at its relaxed geometry (PBE, Alexandria).

Calculated values
Symmetry: Cmmm
Mass density in kg/m³: 4822
Magnetic moment in Bohr magnetons per cell: 1.48

Cell: 2.632 2.632 9.267 Å, 90.00 90.00 111.21°
Site moments in Bohr magnetons follow the coordinates.
Element x y z (fractional)
Li: 0.000 0.000 0.504  0.00
Ag: 0.500 0.500 0.250  0.01
Cr: 0.500 0.500 0.750  1.32
Li: 0.000 0.000 0.996  0.00

=====

#ii
# Li2CrAg

Crystalline Li2CrAg at its relaxed geometry (PBE, Alexandria).

Calculated values
Symmetry: Immm
Mass density in kg/m³: 4316
Magnetic moment in Bohr magnetons per cell: 4.21

Cell: 5.350 5.350 5.350 Å, 145.27 129.21 63.00°
Site moments in Bohr magnetons follow the coordinates.
Element x y z (fractional)
Cr: 0.250 0.750 0.500  3.76
Li: 0.510 0.510 0.000  -0.02
Ag: 0.750 0.250 0.500  0.06
Li: 0.990 0.990 0.000  -0.02

=====

Order of stability, best first: #ii, #i